[1]
Entry from Alexandria via LeMat-Bulk: a relaxed MgSc2Si crystal (PBE).

a b c (Å): 3.706 3.706 6.056
angles (deg): 90.00 90.00 90.00
Sites, in units of the cell vectors:
Mg (0.000, 0.000, 0.000)
Sc (0.000, 0.000, 0.532)
Sc (0.500, 0.500, 0.259)
Si (0.500, 0.500, 0.739)


[2]
Entry from Alexandria via LeMat-Bulk: a relaxed MgScSi2 crystal (PBE).

a b c (Å): 5.911 5.911 5.911
angles (deg): 103.80 103.80 121.52
Sites, in units of the cell vectors:
Mg (0.000, 0.000, 0.000)
Mg (0.750, 0.250, 0.500)
Sc (0.250, 0.750, 0.500)
Sc (0.500, 0.500, 0.000)
Si (0.113, 0.625, 0.988)
Si (0.375, 0.363, 0.488)
Si (0.637, 0.125, 0.012)
Si (0.875, 0.887, 0.512)


[3]
Entry from Alexandria via LeMat-Bulk: a relaxed MgScSi2 crystal (PBE).

a b c (Å): 3.539 3.714 5.525
angles (deg): 90.00 90.00 90.00
Sites, in units of the cell vectors:
Mg (0.000, 0.000, 0.000)
Sc (0.500, 0.500, 0.302)
Si (0.000, 0.000, 0.516)
Si (0.500, 0.500, 0.782)


[4]
Entry from Alexandria via LeMat-Bulk: a relaxed MgScSi crystal (PBE).

a b c (Å): 4.479 4.479 3.227
angles (deg): 90.00 90.00 120.00
Sites, in units of the cell vectors:
Mg (0.000, 0.000, 0.000)
Sc (0.333, 0.667, 0.496)
Si (0.667, 0.333, 0.988)


[5]
Entry from Alexandria via LeMat-Bulk: a relaxed MgSc2Si crystal (PBE).

a b c (Å): 4.594 4.594 6.216
angles (deg): 99.36 99.36 41.45
Sites, in units of the cell vectors:
Mg (0.000, 0.000, 0.000)
Sc (0.235, 0.235, 0.716)
Sc (0.765, 0.765, 0.284)
Si (0.500, 0.500, 0.500)


[6]
Entry from Alexandria via LeMat-Bulk: a relaxed MgSc2Si crystal (PBE).

a b c (Å): 3.604 4.203 5.749
angles (deg): 90.00 108.15 90.00
Sites, in units of the cell vectors:
Mg (0.000, 0.000, 0.000)
Sc (0.277, 0.000, 0.554)
Sc (0.589, 0.500, 0.179)
Si (0.849, 0.500, 0.701)


[7]
Entry from Alexandria via LeMat-Bulk: a relaxed MgScSi crystal (PBE).

a b c (Å): 5.659 5.659 5.659
angles (deg): 149.24 140.61 50.79
Sites, in units of the cell vectors:
Mg (0.000, 0.000, 0.000)
Sc (0.706, 0.706, 0.000)
Si (0.354, 0.354, 0.000)


[8]
Entry from Alexandria via LeMat-Bulk: a relaxed MgScSi crystal (PBE).

a b c (Å): 4.570 4.570 4.570
angles (deg): 60.00 60.00 60.00
Sites, in units of the cell vectors:
Mg (0.000, 0.000, 0.000)
Sc (0.750, 0.750, 0.750)
Si (0.500, 0.500, 0.500)


The records above yield raw formation energy values of -0.5; 0.2; -0.4; -0.9; -0.7; -1.1; -0.5; 0.3 eV per formula unit, respectively.